P:
CrFe2Cl: relaxed, PBE.

a = 4.378 Å, b = 4.378 Å, c = 2.795 Å
α = 90.00°, β = 90.00°, γ = 90.00°
Space group P4/mmm (No. 123)
Asymmetric unit:
1 Cr 0.000 0.000 0.000
2 Fe 0.000 0.500 0.500
3 Cl 0.500 0.500 0.000



Q:
CrFe2Cl: relaxed, PBE.

a = 2.8997 Å, b = 2.8997 Å, c = 24.6663 Å
α = 90.00°, β = 90.00°, γ = 120.00°
Space group R3m (No. 160, hexagonal axes)
Asymmetric unit:
1 Cr 0.0000 0.0000 0.0000
2 Fe 0.0000 0.0000 0.4812
3 Fe 0.0000 0.0000 0.7434
4 Cl 0.0000 0.0000 0.2661



Computed relative energies in units of eV/atom: P 0.406; Q 0.000



P:
CrFe2Cl: relaxed, PBE.

a = 2.940 Å, b = 2.940 Å, c = 6.679 Å
α = 90.00°, β = 90.00°, γ = 90.00°
Space group P4mm (No. 99)
Asymmetric unit:
1 Cr 0.000 0.000 0.000
2 Fe 0.000 0.000 0.417
3 Fe 0.500 0.500 0.206
4 Cl 0.500 0.500 0.730



Q:
CrFe2Cl: relaxed, PBE.

a = 5.808 Å, b = 5.808 Å, c = 5.808 Å
α = 90.00°, β = 90.00°, γ = 90.00°
Space group Fm-3m (No. 225)
Asymmetric unit:
1 Cr 0.000 0.000 0.000
2 Fe 0.250 0.250 0.250
3 Cl 0.000 0.000 0.500



R:
CrFe2Cl: relaxed, PBE.

a = 2.938 Å, b = 3.007 Å, c = 6.700 Å
α = 90.00°, β = 90.00°, γ = 90.00°
Space group Pmm2 (No. 25)
Asymmetric unit:
1 Cr 0.000 0.000 0.000
2 Fe 0.000 0.000 0.395
3 Fe 0.500 0.500 0.185
4 Cl 0.500 0.000 0.704



S:
CrFe2Cl: relaxed, PBE.

a = 2.8299 Å, b = 2.8299 Å, c = 22.9140 Å
α = 90.00°, β = 90.00°, γ = 120.00°
Space group R-3m (No. 166, hexagonal axes)
Asymmetric unit:
1 Cr 0.0000 0.0000 0.0000
2 Fe 0.0000 0.0000 0.2528
3 Cl 0.0000 0.0000 0.5000



Computed relative energies in units of eV/atom: P 0.113; Q 0.810; R 0.000; S 0.221